Record 1
{
  "formula": "BeAsBr2",
  "functional": "GGA-PBE",
  "state": "relaxed",
  "density_kg_m3": 3552,
  "magmom_total_mub_per_cell": 0.00,
  "raw_formation_energy_ev_per_atom": 0.456,
  "relative_energy_mev_per_atom": 692,
  "energy_ev_per_atom": -2.475,
  "lattice": [[3.096, 0.000, 0.000], [0.000, 3.096, 0.000], [0.000, 0.000, 11.891]],
  "species": ["Be", "As", "Br", "Br"],
  "fractional_positions": [[0.000, 0.000, 0.000], [0.000, 0.000, 0.500], [0.500, 0.500, 0.130], [0.500, 0.500, 0.870]]
}

Record 2
{
  "formula": "BeAsBr2",
  "functional": "GGA-PBE",
  "state": "relaxed",
  "density_kg_m3": 3297,
  "magmom_total_mub_per_cell": 0.00,
  "raw_formation_energy_ev_per_atom": 0.103,
  "relative_energy_mev_per_atom": 339,
  "energy_ev_per_atom": -2.827,
  "lattice": [[-1.556, 3.077, 6.411], [1.556, -3.077, 6.411], [1.556, 3.077, -6.411]],
  "species": ["Be", "As", "Br", "Br"],
  "fractional_positions": [[0.000, 0.000, 0.000], [0.500, 0.500, 0.000], [0.126, 0.626, 0.500], [0.874, 0.374, 0.500]]
}

Record 3
{
  "formula": "BeAsBr2",
  "functional": "GGA-PBE",
  "state": "relaxed",
  "density_kg_m3": 3077,
  "magmom_total_mub_per_cell": 1.02,
  "raw_formation_energy_ev_per_atom": 0.169,
  "relative_energy_mev_per_atom": 405,
  "energy_ev_per_atom": -2.762,
  "lattice": [[1.815, 1.048, 11.523], [-1.815, 1.048, 11.523], [0.000, -2.096, 11.523]],
  "species": ["Be", "As", "Br", "Br"],
  "fractional_positions": [[0.000, 0.000, 0.000], [0.500, 0.500, 0.500], [0.056, 0.056, 0.056], [0.944, 0.944, 0.944]]
}